# 1
Below is crystalline Rb3Sn2Bi4 at its relaxed geometry, with properties calculated at the PBE level.

Unit cell a=10.465 b=10.465 c=7.742 alpha=91.60 beta=91.60 gamma=73.86
Element x y z (fractional)
Rb1 0.089 0.911 0.750
Rb2 0.269 0.507 0.981
Rb3 0.493 0.731 0.519
Rb4 0.507 0.269 0.481
Rb5 0.731 0.493 0.019
Rb6 0.911 0.089 0.250
Sn1 0.110 0.324 0.543
Sn2 0.324 0.110 0.043
Sn3 0.676 0.890 0.957
Sn4 0.890 0.676 0.457
Bi1 0.064 0.269 0.905
Bi2 0.186 0.573 0.479
Bi3 0.269 0.064 0.405
Bi4 0.427 0.814 0.021
Bi5 0.573 0.186 0.979
Bi6 0.731 0.936 0.595
Bi7 0.814 0.427 0.521
Bi8 0.936 0.731 0.095

## Properties
The formation energy comes out at -0.17 eV/atom. As for the total energy: -27.93 eV/f.u. The symmetry is No. 15.

---

# 2
Below is crystalline TbPrGdTh at its relaxed geometry, with properties calculated at the PBE level.

Unit cell a=5.734 b=5.734 c=5.734 alpha=60.00 beta=60.00 gamma=60.00
Element x y z (fractional)
Tb1 0.000 0.000 0.000
Pr1 0.250 0.250 0.250
Gd1 0.750 0.750 0.750
Th1 0.500 0.500 0.500

## Properties
The formation energy comes out at 0.19 eV/atom. As for the total energy: -30.16 eV/f.u. The symmetry is No. 216.

---

# 3
Below is crystalline Cs2TlCd3Au4 at its relaxed geometry, with properties calculated at the PBE level.

Unit cell a=5.147 b=5.147 c=11.321 alpha=90.00 beta=90.00 gamma=90.00
Element x y z (fractional)
Cs1 0.000 0.500 0.239
Cs2 0.500 0.000 0.761
Tl1 0.000 0.000 0.500
Cd1 0.000 0.500 0.885
Cd2 0.500 0.000 0.115
Cd3 0.500 0.500 0.500
Au1 0.000 0.000 0.000
Au2 0.000 0.500 0.632
Au3 0.500 0.000 0.368
Au4 0.500 0.500 0.000

## Properties
The formation energy comes out at -0.19 eV/atom. As for the total energy: -21.86 eV/f.u. The symmetry is No. 115.

---

# 4
Below is crystalline AcTlAs2Pd2 at its relaxed geometry, with properties calculated at the PBE level.

Unit cell a=4.316 b=4.316 c=9.164 alpha=90.00 beta=90.00 gamma=120.00
Element x y z (fractional)
Ac1 0.000 0.000 0.000
Tl1 0.000 0.000 0.500
As1 0.333 0.667 0.771
As2 0.667 0.333 0.229
Pd1 0.333 0.667 0.257
Pd2 0.667 0.333 0.743

## Properties
The formation energy comes out at -0.64 eV/atom. As for the total energy: -30.01 eV/f.u. The symmetry is No. 164.

---

Question: What is the formula in the second record?
Answer: TbPrGdTh

---

Question: Which formula does entry 2 have?
Answer: TbPrGdTh